No. 1
The following is a PBE calculation of crystalline CsFeS2 at its relaxed geometry, from the Alexandria database.

a = 5.167 Å, b = 7.559 Å, c = 7.114 Å
α = 117.95°, β = 89.99°, γ = 110.01°
Last column: magnetic moment on the atom in μB.
Atoms (fractional coordinates):
1 Cs 0.669 0.339 0.668  0.01
2 Cs 0.331 0.661 0.332  0.01
3 S 0.361 0.722 0.863  0.06
4 S 0.639 0.278 0.137  0.06
5 S 0.001 0.002 0.242  0.08
6 S 0.999 0.998 0.758  0.08
7 Fe 0.249 0.000 0.000  0.72
8 Fe 0.751 0.000 0.000  0.72

Computed properties:
M_tot: 1.00 μB per formula unit
Final energy: -5.176 eV per atom



No. 2
The following is a PBE calculation of crystalline CsFeS2 at its relaxed geometry, from the Alexandria database.

a = 5.445 Å, b = 7.209 Å, c = 7.209 Å
α = 116.52°, β = 100.62°, γ = 100.62°
Last column: magnetic moment on the atom in μB.
Atoms (fractional coordinates):
1 Cs 0.750 0.851 0.149  0.01
2 Cs 0.250 0.149 0.851  0.01
3 Fe 0.750 0.498 0.502  2.04
4 Fe 0.250 0.502 0.498  2.04
5 S 0.910 0.415 0.228  0.09
6 S 0.590 0.772 0.585  0.09
7 S 0.090 0.585 0.772  0.09
8 S 0.410 0.228 0.415  0.09

Computed properties:
M_tot: 2.54 μB per formula unit
Final energy: -5.181 eV per atom